Record 1
Compound: Li10SiP2Se12
Source: Alexandria
Functional: meta-GGA SCAN
Structure: PBEsol geometry

abc: 9.1182 9.1182 12.9806
angles: 90.00 90.00 90.00
With the nearest neighbours (Å) after each atom.
Fractional positions:
Li  0.0000  0.0000  0.0000  6 Se 2.69-2.88
Li  0.0000  0.0000  0.5000  6 Se 2.69-2.88
Li  0.2272  0.2641  0.2445  3 Se 2.46-2.68
Li  0.2272  0.7359  0.2445  3 Se 2.46-2.68
Li  0.2395  0.2406  0.9811  3 Se 2.50-2.75
Li  0.2395  0.7594  0.9811  3 Se 2.50-2.75
Li  0.2406  0.2395  0.4811  3 Se 2.50-2.75
Li  0.2406  0.7605  0.4811  3 Se 2.50-2.75
Li  0.2641  0.2272  0.7445  3 Se 2.46-2.68
Li  0.2641  0.7728  0.7445  3 Se 2.46-2.68
Li  0.5000  0.5000  0.4060  6 Se 2.72-2.78
Li  0.5000  0.5000  0.9060  6 Se 2.72-2.78
Li  0.7359  0.2272  0.7445  3 Se 2.46-2.68
Li  0.7359  0.7728  0.7445  3 Se 2.46-2.68
Li  0.7594  0.2395  0.4811  3 Se 2.50-2.75
Li  0.7594  0.7605  0.4811  3 Se 2.50-2.75
Li  0.7605  0.2406  0.9811  3 Se 2.50-2.75
Li  0.7605  0.7594  0.9811  3 Se 2.50-2.75
Li  0.7728  0.2641  0.2445  3 Se 2.46-2.68
Li  0.7728  0.7359  0.2445  3 Se 2.46-2.68
Si  0.0000  0.0000  0.2530  4 Se 2.29-2.31
Si  0.0000  0.0000  0.7530  4 Se 2.29-2.31
P  0.0000  0.5000  0.4646  4 Se 2.20-2.23
P  0.5000  0.0000  0.9646  4 Se 2.20-2.23
P  0.5000  0.5000  0.1498  4 Se 2.21-2.23
P  0.5000  0.5000  0.6498  4 Se 2.21-2.23
Se  0.0000  0.2041  0.1508  1 Si 2.29, 2 Li 2.46
Se  0.0000  0.2083  0.8538  1 Si 2.31
Se  0.0000  0.3032  0.5626  1 P 2.20
Se  0.0000  0.6968  0.5626  1 P 2.20
Se  0.0000  0.7917  0.8538  1 Si 2.31
Se  0.0000  0.7959  0.1508  1 Si 2.29, 2 Li 2.46
Se  0.2009  0.5000  0.3661  1 P 2.23
Se  0.2041  0.0000  0.6508  1 Si 2.29, 2 Li 2.46
Se  0.2083  0.0000  0.3538  1 Si 2.31
Se  0.2941  0.5000  0.0574  1 P 2.23
Se  0.2998  0.5000  0.7452  1 P 2.21
Se  0.3032  0.0000  0.0626  1 P 2.20
Se  0.5000  0.2009  0.8661  1 P 2.23
Se  0.5000  0.2941  0.5574  1 P 2.23
Se  0.5000  0.2998  0.2452  1 P 2.21
Se  0.5000  0.7002  0.2452  1 P 2.21
Se  0.5000  0.7059  0.5574  1 P 2.23
Se  0.5000  0.7991  0.8661  1 P 2.23
Se  0.6968  0.0000  0.0626  1 P 2.20
Se  0.7002  0.5000  0.7452  1 P 2.21
Se  0.7059  0.5000  0.0574  1 P 2.23
Se  0.7917  0.0000  0.3538  1 Si 2.31
Se  0.7959  0.0000  0.6508  1 Si 2.29, 2 Li 2.46
Se  0.7991  0.5000  0.3661  1 P 2.23

Properties
space-group type	P4_2mc (105)
formation energy (no corrections)	-22.07	kcal/mol of atoms


Record 2
Compound: Li10SnP2Se12
Source: Alexandria
Functional: meta-GGA SCAN
Structure: PBEsol geometry

abc: 8.7648 9.4117 13.4591
angles: 93.09 90.35 90.05
With the nearest neighbours (Å) after each atom.
Fractional positions:
Li  0.0000  0.0000  0.0000  4 Se 2.51-2.62
Li  0.0001  0.4928  0.3249  4 Se 2.47-2.54
Li  0.0240  0.9868  0.2675  5 Se 2.57-2.87
Li  0.2008  0.3055  0.0661  4 Se 2.58-2.87
Li  0.2266  0.2991  0.5961  5 Se 2.65-2.77
Li  0.4554  0.5961  0.4094  4 Se 2.50-2.61
Li  0.4657  0.0044  0.0046  4 Se 2.49-2.66
Li  0.4742  0.9818  0.2718  4 Se 2.64-2.73
Li  0.4767  0.0518  0.5479  5 Se 2.61-2.84
Li  0.4824  0.4887  0.1168  4 Se 2.54-2.76
Li  0.4828  0.5358  0.8907  6 Se 2.72-2.95
Li  0.4839  0.5526  0.6560  4 Se 2.54-2.64
Li  0.5105  0.0700  0.7926  4 Se 2.50-2.66
Li  0.6937  0.2913  0.3859  4 Se 2.57-2.83
Li  0.7373  0.7672  0.7011  5 Se 2.71-2.82, 1 Li 3.04
Li  0.7417  0.7375  0.1826  5 Se 2.63-2.73
Li  0.9688  0.0530  0.5113  4 Se 2.68-2.86
Li  0.9724  0.0429  0.7727  4 Se 2.54-2.71
Li  0.9861  0.5498  0.6530  4 Se 2.53-2.66
Li  0.9883  0.5290  0.9105  4 Se 2.67-2.72
Sn  0.2333  0.2668  0.8272  4 Se 2.52-2.54
Sn  0.7534  0.7764  0.4612  4 Se 2.51-2.56
P  0.2330  0.7374  0.1464  4 Se 2.20-2.24
P  0.2518  0.2546  0.3232  4 Se 2.22
P  0.7294  0.7939  0.9529  4 Se 2.22
P  0.7306  0.3095  0.6292  4 Se 2.21-2.24
Se  0.0283  0.7149  0.2373  1 P 2.20
Se  0.0478  0.2610  0.2245  1 P 2.22
Se  0.2271  0.4408  0.4308  1 P 2.22
Se  0.2337  0.9617  0.1041  1 P 2.22
Se  0.2348  0.5073  0.7499  1 Sn 2.54, 3 Li 2.58-2.77
Se  0.2441  0.5725  0.0214  1 P 2.23
Se  0.2455  0.0644  0.6953  1 Sn 2.54, 3 Li 2.63-2.66
Se  0.2472  0.0527  0.4020  1 P 2.22
Se  0.4445  0.7043  0.2364  1 P 2.24
Se  0.4630  0.2564  0.9419  1 Sn 2.54, 3 Li 2.56-2.76
Se  0.4662  0.2613  0.2365  1 P 2.22
Se  0.5056  0.7769  0.5603  4 Li 2.54-2.77, 1 Sn 2.56
Se  0.5197  0.3358  0.5375  1 P 2.24
Se  0.5248  0.8150  0.8562  1 P 2.22
Se  0.7257  0.5651  0.3355  4 Li 2.50-2.71, 1 Sn 2.55
Se  0.7293  0.0874  0.6753  1 P 2.21
Se  0.7302  0.5778  0.0114  1 P 2.22
Se  0.7329  0.9622  0.0749  1 P 2.22
Se  0.7353  0.4810  0.7500  1 P 2.23
Se  0.7534  0.0000  0.3618  1 Sn 2.55, 4 Li 2.70-2.79
Se  0.9336  0.3358  0.5322  1 P 2.23
Se  0.9393  0.8015  0.8614  1 P 2.22
Se  0.9786  0.7903  0.5776  1 Sn 2.51, 3 Li 2.53-2.71
Se  0.9910  0.2433  0.9245  1 Sn 2.52, 4 Li 2.56-2.71

Properties
space-group type	P1 (1)
energy relative to the lowest polymorph listed for this composition	0	meV/atom
formation energy (no corrections)	-21.67	kcal/mol of atoms


Record 3
Compound: Li10SnP2Se12
Source: Alexandria
Functional: meta-GGA SCAN
Structure: PBEsol geometry

abc: 9.1570 9.1570 13.1815
angles: 90.00 90.00 90.00
With the nearest neighbours (Å) after each atom.
Fractional positions:
Li  0.0000  0.0000  0.0000  6 Se 2.76-2.79
Li  0.0000  0.0000  0.5000  6 Se 2.76-2.79
Li  0.2120  0.2750  0.3267  3 Se 2.49-2.64
Li  0.2120  0.7250  0.3267  3 Se 2.49-2.64
Li  0.2584  0.2664  0.0733  3 Se 2.53-2.67
Li  0.2584  0.7336  0.0733  3 Se 2.53-2.67
Li  0.2664  0.2584  0.5733  3 Se 2.53-2.67
Li  0.2664  0.7416  0.5733  3 Se 2.53-2.67
Li  0.2750  0.2120  0.8267  3 Se 2.49-2.64
Li  0.2750  0.7880  0.8267  3 Se 2.49-2.64
Li  0.5000  0.5000  0.0895  6 Se 2.76-2.90, 4 Li 3.08
Li  0.5000  0.5000  0.5895  6 Se 2.76-2.90, 4 Li 3.08
Li  0.7250  0.2120  0.8267  3 Se 2.49-2.64
Li  0.7250  0.7880  0.8267  3 Se 2.49-2.64
Li  0.7336  0.2584  0.5733  3 Se 2.53-2.67
Li  0.7336  0.7416  0.5733  3 Se 2.53-2.67
Li  0.7416  0.2664  0.0733  3 Se 2.53-2.67
Li  0.7416  0.7336  0.0733  3 Se 2.53-2.67
Li  0.7880  0.2750  0.3267  3 Se 2.49-2.64
Li  0.7880  0.7250  0.3267  3 Se 2.49-2.64
Sn  0.5000  0.5000  0.3450  4 Se 2.53
Sn  0.5000  0.5000  0.8450  4 Se 2.53
P  0.0000  0.0000  0.2455  4 Se 2.21-2.23
P  0.0000  0.0000  0.7455  4 Se 2.21-2.23
P  0.0000  0.5000  0.5567  4 Se 2.20-2.24
P  0.5000  0.0000  0.0567  4 Se 2.20-2.24
Se  0.0000  0.1993  0.8397  1 P 2.21
Se  0.0000  0.2044  0.1534  1 P 2.23
Se  0.0000  0.2983  0.4611  1 P 2.24
Se  0.0000  0.7017  0.4611  1 P 2.24
Se  0.0000  0.7956  0.1534  1 P 2.23
Se  0.0000  0.8007  0.8397  1 P 2.21
Se  0.1967  0.5000  0.6524  1 P 2.20
Se  0.1993  0.0000  0.3397  1 P 2.21
Se  0.2044  0.0000  0.6534  1 P 2.23
Se  0.2709  0.5000  0.9525  1 Sn 2.53, 3 Li 2.67-2.77
Se  0.2775  0.5000  0.2308  3 Li 2.49-2.76, 1 Sn 2.53
Se  0.2983  0.0000  0.9611  1 P 2.24
Se  0.5000  0.1967  0.1524  1 P 2.20
Se  0.5000  0.2709  0.4525  1 Sn 2.53, 3 Li 2.67-2.77
Se  0.5000  0.2775  0.7308  3 Li 2.49-2.76, 1 Sn 2.53
Se  0.5000  0.7225  0.7308  3 Li 2.49-2.76, 1 Sn 2.53
Se  0.5000  0.7291  0.4525  1 Sn 2.53, 3 Li 2.67-2.77
Se  0.5000  0.8033  0.1524  1 P 2.20
Se  0.7017  0.0000  0.9611  1 P 2.24
Se  0.7225  0.5000  0.2308  3 Li 2.49-2.76, 1 Sn 2.53
Se  0.7291  0.5000  0.9525  1 Sn 2.53, 3 Li 2.67-2.77
Se  0.7956  0.0000  0.6534  1 P 2.23
Se  0.8007  0.0000  0.3397  1 P 2.21
Se  0.8033  0.5000  0.6524  1 P 2.20

Properties
space-group type	P4_2mc (105)
energy relative to the lowest polymorph listed for this composition	13	meV/atom
formation energy (no corrections)	-21.38	kcal/mol of atoms


Record 4
Compound: Li2SiP
Source: Alexandria
Functional: meta-GGA SCAN
Structure: PBEsol geometry

abc: 3.6555 3.6555 3.9627
angles: 90.00 90.00 90.00
With the nearest neighbours (Å) after each atom.
Fractional positions:
Li  0.0000  0.5000  0.0000  4 Li 2.58, 4 P 2.70, 4 Si 2.70
Li  0.5000  0.0000  0.0000  4 Li 2.58, 4 P 2.70, 4 Si 2.70
Si  0.0000  0.0000  0.5000  4 P 2.58, 8 Li 2.70
P  0.5000  0.5000  0.5000  4 Si 2.58, 8 Li 2.70

Properties
space-group type	P4/mmm (123)
energy relative to the lowest polymorph listed for this composition	0	meV/atom
formation energy (no corrections)	-6.42	kcal/mol of atoms


Record 5
Compound: LiSiP2
Source: Alexandria
Functional: meta-GGA SCAN
Structure: PBEsol geometry

abc: 5.0454 6.6363 3.2797
angles: 90.00 90.00 90.00
With the nearest neighbours (Å) after each atom.
Fractional positions:
Li  0.0000  0.0000  0.0000  2 Si 2.52, 8 P 2.65
Li  0.5000  0.5000  0.0000  2 Si 2.52, 8 P 2.65
Si  0.0000  0.5000  0.0000  2 Li 2.52, 8 P 2.65
Si  0.5000  0.0000  0.0000  2 Li 2.52, 8 P 2.65
P  0.2500  0.2500  0.5000  2 P 2.52, 4 Li 2.65, 4 Si 2.65
P  0.2500  0.7500  0.5000  2 P 2.52, 4 Li 2.65, 4 Si 2.65
P  0.7500  0.2500  0.5000  2 P 2.52, 4 Li 2.65, 4 Si 2.65
P  0.7500  0.7500  0.5000  2 P 2.52, 4 Li 2.65, 4 Si 2.65

Properties
space-group type	Cmmm (65)
formation energy (no corrections)	4.08	kcal/mol of atoms


Record 6
Compound: LiSiP2
Source: Alexandria
Functional: meta-GGA SCAN
Structure: PBEsol geometry

abc: 10.2817 3.4150 3.6581
angles: 90.00 104.00 90.00
With the nearest neighbours (Å) after each atom.
Fractional positions:
Li  0.0000  0.0000  0.0000  5 P 2.53-2.74, 1 Si 2.76
Li  0.5000  0.5000  0.0000  5 P 2.53-2.74, 1 Si 2.76
Si  0.2412  0.5000  0.0885  6 P 2.45-2.57
Si  0.7412  0.0000  0.0885  6 P 2.45-2.57
P  0.1964  0.0000  0.5699  1 P 2.19
P  0.3930  0.0000  0.4346  1 P 2.19, 2 Si 2.45
P  0.6964  0.5000  0.5699  1 P 2.19
P  0.8930  0.5000  0.4346  1 P 2.19, 2 Si 2.45

Properties
space-group type	Cm (8)
formation energy (no corrections)	-0.06	kcal/mol of atoms


Record 7
Compound: Li2SiP
Source: Alexandria
Functional: meta-GGA SCAN
Structure: PBEsol geometry

abc: 3.6927 3.6927 7.9812
angles: 90.00 90.00 90.00
With the nearest neighbours (Å) after each atom.
Fractional positions:
Li  0.0000  0.0000  0.0000  4 P 2.61, 4 Li 2.72, 4 Si 2.72
Li  0.0000  0.5000  0.2500  4 Si 2.61, 4 Li 2.72, 4 P 2.72
Li  0.5000  0.0000  0.7500  4 Si 2.61, 4 Li 2.72, 4 P 2.72
Li  0.5000  0.5000  0.5000  4 P 2.61, 4 Li 2.72, 4 Si 2.72
Si  0.0000  0.5000  0.7500  8 Li 2.61-2.72, 4 P 2.72
Si  0.5000  0.0000  0.2500  8 Li 2.61-2.72, 4 P 2.72
P  0.0000  0.0000  0.5000  8 Li 2.61-2.72, 4 Si 2.72
P  0.5000  0.5000  0.0000  8 Li 2.61-2.72, 4 Si 2.72

Properties
space-group type	I-4m2 (119)
energy relative to the lowest polymorph listed for this composition	168	meV/atom
formation energy (no corrections)	-2.54	kcal/mol of atoms


Record 8
Compound: Li4SiP4
Source: Alexandria
Functional: meta-GGA SCAN
Structure: PBEsol geometry

abc: 5.3543 6.9373 8.6066
angles: 86.69 84.83 72.10
With the nearest neighbours (Å) after each atom.
Fractional positions:
Li  0.0876  0.1944  0.0067  5 P 2.48-2.68
Li  0.1076  0.2429  0.5880  4 P 2.45-2.69, 1 Li 2.65
Li  0.2970  0.8347  0.5206  5 P 2.44-2.63, 1 Li 2.65, 1 Si 2.72
Li  0.3976  0.7285  0.1953  4 P 2.54-2.83
Li  0.6024  0.2715  0.8047  4 P 2.54-2.83
Li  0.7030  0.1653  0.4794  5 P 2.44-2.63, 1 Li 2.65, 1 Si 2.72
Li  0.8924  0.7571  0.4120  4 P 2.45-2.69, 1 Li 2.65
Li  0.9124  0.8056  0.9933  5 P 2.48-2.68
Si  0.3943  0.2970  0.2362  4 P 2.25-2.31
Si  0.6057  0.7030  0.7638  4 P 2.25-2.31
P  0.1510  0.0782  0.3070  1 P 2.25, 1 Si 2.31, 1 Li 2.44
P  0.2095  0.9514  0.7922  1 P 2.25, 1 Si 2.29, 2 Li 2.47-2.48
P  0.2971  0.4852  0.0160  1 P 2.24, 1 Si 2.25
P  0.3162  0.4829  0.4568  1 P 2.25, 1 Si 2.29, 3 Li 2.45-2.52
P  0.6838  0.5171  0.5432  1 P 2.25, 1 Si 2.29, 3 Li 2.45-2.52
P  0.7029  0.5148  0.9840  1 P 2.24, 1 Si 2.25
P  0.7905  0.0486  0.2078  1 P 2.25, 1 Si 2.29, 2 Li 2.47-2.48
P  0.8490  0.9218  0.6930  1 P 2.25, 1 Si 2.31, 1 Li 2.44

Properties
space-group type	P-1 (2)
formation energy (no corrections)	-11.53	kcal/mol of atoms


Record 9
Compound: Sr2LiP2
Source: Alexandria
Functional: meta-GGA SCAN
Structure: PBEsol geometry

abc: 8.5933 8.5933 3.4405
angles: 90.00 90.00 90.00
With the nearest neighbours (Å) after each atom.
Fractional positions:
Sr  0.1341  0.3659  0.0000  6 P 2.97-3.12, 1 Sr 3.26
Sr  0.3659  0.8659  0.0000  6 P 2.97-3.12, 1 Sr 3.26
Sr  0.6341  0.1341  0.0000  6 P 2.97-3.12, 1 Sr 3.26
Sr  0.8659  0.6341  0.0000  6 P 2.97-3.12, 1 Sr 3.26
Li  0.0000  0.0000  0.0000  4 Sr 3.35, 2 Li 3.44, 8 P 3.64
Li  0.5000  0.5000  0.0000  4 Sr 3.35, 2 Li 3.44, 8 P 3.64
P  0.1667  0.6667  0.5000  6 Sr 2.97-3.12
P  0.3333  0.1667  0.5000  6 Sr 2.97-3.12
P  0.6667  0.8333  0.5000  6 Sr 2.97-3.12
P  0.8333  0.3333  0.5000  6 Sr 2.97-3.12

Properties
space-group type	P4/mbm (127)
calculated formation energy	-680	meV/atom


Record 10
Compound: Sr3LiP
Source: Alexandria
Functional: meta-GGA SCAN
Structure: PBEsol geometry

abc: 5.5863 5.5863 5.5863
angles: 90.00 90.00 90.00
With the nearest neighbours (Å) after each atom.
Fractional positions:
Sr  0.0000  0.0000  0.5000  2 Li 2.79
Sr  0.0000  0.5000  0.0000  2 Li 2.79
Sr  0.5000  0.0000  0.0000  2 Li 2.79
Li  0.0000  0.0000  0.0000  6 Sr 2.79
P  0.5000  0.5000  0.5000  12 Sr 3.95

Properties
space-group type	Pm-3m (221)
calculated formation energy	312	meV/atom


Record 11
Compound: Li2TcP
Source: Alexandria
Functional: meta-GGA SCAN
Structure: PBEsol geometry

abc: 2.4919 2.4919 8.3772
angles: 90.00 90.00 90.00
With the nearest neighbours (Å) after each atom.
Fractional positions:
Li  0.0000  0.0000  0.2303  4 Li 2.49, 4 P 2.61
Li  0.0000  0.0000  0.7697  4 Li 2.49, 4 P 2.61
Tc  0.5000  0.5000  0.5000  4 Tc 2.49
P  0.5000  0.5000  0.0000  4 P 2.49, 8 Li 2.61

Properties
space-group type	P4/mmm (123)
calculated formation energy	-66	meV/atom


Record 12
Compound: Li2TcP
Source: Alexandria
Functional: meta-GGA SCAN
Structure: PBEsol geometry

abc: 2.8923 3.8828 4.4030
angles: 90.00 90.00 90.00
With the nearest neighbours (Å) after each atom.
Fractional positions:
Li  0.0000  0.0000  0.0000  4 Li 2.42, 4 P 2.63
Li  0.5000  0.5000  0.0000  4 Li 2.42, 4 Tc 2.63
Tc  0.0000  0.5000  0.5000  4 P 2.42, 4 Li 2.63
P  0.5000  0.0000  0.5000  4 Tc 2.42, 4 Li 2.63

Properties
space-group type	Pmmm (47)
calculated formation energy	-220	meV/atom


Number 8 is which compound?
Li4SiP4